Below is an optimized crystal structure of Na17Cd11In, with properties calculated at the PBE-GGA level.

Cell and atoms, written as extended XYZ:
```
29
Lattice="-3.783 0.166 -9.433 8.343 5.793 0.397 2.380 -9.521 2.514" Properties=species:S:1:pos:R:3 pbc="T T T"
Na 0.005 -0.002 -0.004
Na 0.219 -5.581 -1.481
In 2.099 0.466 -2.857
Cd -0.471 -7.668 -3.973
Na 1.370 -4.805 -4.645
Cd 4.534 -1.175 -7.503
Cd 6.770 -0.137 -5.691
Cd 0.970 -2.362 -2.428
Na 3.570 -4.437 -1.864
Na 6.310 -2.513 -0.640
Na 5.684 0.440 1.023
Cd 2.784 -6.743 0.425
Na 0.378 1.908 -5.475
Na 0.832 -3.327 0.878
Na 4.521 -2.310 -4.255
Cd 3.207 -1.324 -0.615
Na 2.907 2.016 0.131
Na 4.033 -3.811 1.611
Na 1.637 -1.395 -5.611
Na 3.769 3.482 -2.726
Na 3.796 1.438 -5.506
Cd -1.150 -0.551 -7.212
Cd 4.612 -5.692 -4.919
Na -1.491 -2.889 -4.793
Na -1.311 0.059 -3.288
Cd 7.273 -4.075 2.304
Cd 6.766 -4.693 -3.173
Na 5.438 0.369 -2.530
Cd 6.596 3.043 -0.933
```

Summary:
Theoretical density, g/cm³: 3.586
DFT formation energy, eV/atom: -0.08
Space-group type: No. 8